No. 1
# PrDy8Sc2

PrDy8Sc2 after structural relaxation (PBE, Alexandria via LeMat-Bulk).

Cell lengths 5.787, 8.861, 9.119 Å; angles 60.93, 74.60, 56.87 degrees
Atoms (fractional coordinates):
Pr 0.500 0.000 0.000
Dy 0.823 0.098 0.243
Dy 0.823 0.341 0.757
Dy 0.292 0.430 0.000
Dy 0.500 0.792 0.417
Dy 0.500 0.208 0.583
Dy 0.708 0.570 0.000
Dy 0.177 0.659 0.243
Dy 0.177 0.902 0.757
Sc 0.000 0.310 0.381
Sc 0.000 0.690 0.619

**Uncorrected energy**: -52.358 eV per cell
**Space group**: C2/m, No. 12
**ΔH_f (0 K)**: 0.173 eV/atom
**Relative energy among the computed polymorphs**: 0.047 eV/atom
**Total moment**: 0.00 Bohr magnetons per cell
**DOS at the Fermi energy**: 16.71 states/eV/f.u.

No. 2
# Tl2AgAu2

Tl2AgAu2 after structural relaxation (PBE, Alexandria via LeMat-Bulk).

Cell lengths 4.385, 4.385, 7.307 Å; angles 72.54, 72.54, 90.00 degrees
Atoms (fractional coordinates):
Tl 0.750 0.250 0.500
Tl 0.250 0.750 0.500
Au 0.401 0.401 0.198
Au 0.599 0.599 0.802
Ag 0.000 0.000 0.000

**Uncorrected energy**: -12.826 eV per cell
**Space group**: I4/mmm, No. 139
**ΔH_f (0 K)**: 0.262 eV/atom
**Relative energy among the computed polymorphs**: 0.211 eV/atom
**Total moment**: 0.00 Bohr magnetons per cell
**DOS at the Fermi energy**: 2.23 states/eV/f.u.

No. 3
# CaMg2Sb

CaMg2Sb after structural relaxation (PBE, Alexandria via LeMat-Bulk).

Cell lengths 3.968, 3.968, 6.809 Å; angles 90.00, 90.00, 90.00 degrees
Atoms (fractional coordinates):
Ca 0.500 0.500 0.732
Mg 0.000 0.000 0.038
Mg 0.500 0.500 0.253
Sb 0.000 0.000 0.476

**Uncorrected energy**: -10.525 eV per cell
**Space group**: P4mm, No. 99
**ΔE_f (raw)**: -0.303 eV/atom
**Relative energy among the computed polymorphs**: 0.117 eV/atom
**Total moment**: 0.00 Bohr magnetons per cell
**DOS at the Fermi energy**: 2.56 states/eV/f.u.

No. 4
# NdTlGe

NdTlGe after structural relaxation (PBE, Alexandria via LeMat-Bulk).

Cell lengths 10.777, 10.777, 10.777 Å; angles 23.10, 23.10, 23.10 degrees
Atoms (fractional coordinates):
Nd 0.245 0.245 0.245
Nd 0.118 0.118 0.118
Tl 0.379 0.379 0.379
Tl 0.651 0.651 0.651
Ge 0.846 0.846 0.846
Ge 0.518 0.518 0.518

**Uncorrected energy**: -25.670 eV per cell
**Space group**: R3m, No. 160
**ΔH_f (0 K)**: -0.361 eV/atom
**Relative energy among the computed polymorphs**: 0.072 eV/atom
**Total moment**: 0.00 Bohr magnetons per cell
**DOS at the Fermi energy**: 1.94 states/eV/f.u.

No. 5
# Sr2DyTmS4

Sr2DyTmS4 after structural relaxation (PBE, Alexandria via LeMat-Bulk).

Cell lengths 4.019, 6.951, 7.140 Å; angles 108.98, 90.00, 90.00 degrees
Atoms (fractional coordinates):
Sr 0.500 0.000 0.500
Sr 0.000 0.500 0.500
Dy 0.500 0.500 0.000
Tm 0.000 0.000 0.000
S 0.500 0.239 0.225
S 0.500 0.761 0.775
S 0.000 0.254 0.773
S 0.000 0.746 0.227

**Uncorrected energy**: -45.129 eV per cell
**Space group**: P2/m, No. 10
**ΔE_f (raw)**: -2.023 eV/atom
**Total moment**: 0.00 Bohr magnetons per cell
**DOS at the Fermi energy**: 3.46 states/eV/f.u.

No. 6
# CrBi2P2

CrBi2P2 after structural relaxation (PBE, Alexandria via LeMat-Bulk).

Cell lengths 3.350, 3.350, 10.442 Å; angles 80.77, 80.77, 90.00 degrees
Site moments in Bohr magnetons follow the coordinates.
Atoms (fractional coordinates):
Cr 0.000 0.000 0.000  3.50
Bi 0.407 0.407 0.186  -0.07
Bi 0.593 0.593 0.814  -0.07
P 0.750 0.250 0.500  0.00
P 0.250 0.750 0.500  0.00

**Uncorrected energy**: -26.291 eV per cell
**Space group**: I4/mmm, No. 139
**ΔH_f (0 K)**: 0.383 eV/atom
**Relative energy among the computed polymorphs**: 0.000 eV/atom
**Total moment**: 3.72 Bohr magnetons per cell
**DOS at the Fermi energy**: 2.92 states/eV/f.u.

No. 7
# GaBi2Pb

GaBi2Pb after structural relaxation (PBE, Alexandria via LeMat-Bulk).

Cell lengths 4.265, 4.265, 8.124 Å; angles 74.78, 74.78, 60.00 degrees
Atoms (fractional coordinates):
Pb 0.500 0.500 0.500
Bi 0.262 0.262 0.214
Bi 0.738 0.738 0.786
Ga 0.000 0.000 0.000

**Uncorrected energy**: -14.070 eV per cell
**Space group**: R-3m, No. 166
**ΔH_f (0 K)**: 0.107 eV/atom
**Total moment**: 0.00 Bohr magnetons per cell
**DOS at the Fermi energy**: 2.59 states/eV/f.u.

No. 8
# RbV

RbV after structural relaxation (PBE, Alexandria via LeMat-Bulk).

Cell lengths 3.914, 19.119, 7.982 Å; angles 90.00, 90.00, 90.00 degrees
Atoms (fractional coordinates):
Rb 0.000 0.385 0.751
Rb 0.500 0.615 0.749
Rb 0.500 0.615 0.251
Rb 0.000 0.385 0.249
Rb 0.000 0.157 0.500
Rb 0.500 0.843 0.000
V 0.000 0.986 0.672
V 0.500 0.014 0.828
V 0.500 0.014 0.172
V 0.000 0.986 0.328
V 0.000 0.026 0.000
V 0.500 0.974 0.500

**Uncorrected energy**: -50.561 eV per cell
**Space group**: Pmmn, No. 59
**ΔH_f (0 K)**: 0.830 eV/atom
**Relative energy among the computed polymorphs**: 0.000 eV/atom
**Total moment**: 0.00 Bohr magnetons per cell
**DOS at the Fermi energy**: 1.97 states/eV/f.u.

No. 9
# Ag2BO

Ag2BO after structural relaxation (PBE, Alexandria via LeMat-Bulk).

Cell lengths 4.121, 4.121, 4.121 Å; angles 60.00, 60.00, 60.00 degrees
Atoms (fractional coordinates):
B 0.000 0.000 0.000
O 0.500 0.500 0.500
Ag 0.250 0.250 0.250
Ag 0.750 0.750 0.750

**Uncorrected energy**: -14.506 eV per cell
**Space group**: Fm-3m, No. 225
**ΔE_f (raw)**: 0.708 eV/atom
**Relative energy among the computed polymorphs**: 0.041 eV/atom
**Total moment**: 0.00 Bohr magnetons per cell
**DOS at the Fermi energy**: 1.11 states/eV/f.u.

No. 10
# Dy3HoSc3

Dy3HoSc3 after structural relaxation (PBE, Alexandria via LeMat-Bulk).

Cell lengths 5.442, 9.210, 9.210 Å; angles 120.00, 90.00, 90.00 degrees
Atoms (fractional coordinates):
Dy 0.250 0.803 0.755
Dy 0.250 0.245 0.048
Dy 0.250 0.952 0.197
Dy 0.750 0.197 0.245
Dy 0.750 0.755 0.952
Dy 0.750 0.048 0.803
Ho 0.250 0.667 0.333
Ho 0.750 0.333 0.667
Sc 0.750 0.615 0.519
Sc 0.750 0.481 0.096
Sc 0.750 0.904 0.385
Sc 0.250 0.385 0.481
Sc 0.250 0.519 0.904
Sc 0.250 0.096 0.615

**Uncorrected energy**: -74.380 eV per cell
**Space group**: P6_3/m, No. 176
**ΔH_f (0 K)**: 0.027 eV/atom
**Relative energy among the computed polymorphs**: 0.000 eV/atom
**Total moment**: 0.47 Bohr magnetons per cell
**DOS at the Fermi energy**: 14.79 states/eV/f.u.

No. 11
# LaTb3Er3

LaTb3Er3 after structural relaxation (PBE, Alexandria via LeMat-Bulk).

Cell lengths 17.391, 10.675, 8.272 Å; angles 89.50, 119.10, 128.77 degrees
Atoms (fractional coordinates):
La 0.021 0.764 0.977
La 0.257 0.236 0.213
La 0.819 0.000 0.975
La 0.961 0.000 0.792
Tb 0.265 0.779 0.236
Tb 0.733 0.495 0.987
Tb 0.544 0.568 0.337
Tb 0.472 0.000 0.765
Tb 0.486 0.221 0.457
Tb 0.529 0.761 0.983
Tb 0.001 0.767 0.516
Tb 0.238 0.505 0.492
Tb 0.768 0.239 0.223
Tb 0.234 0.233 0.748
Tb 0.737 0.000 0.490
Tb 0.976 0.432 0.769
Er 0.497 0.770 0.532
Er 0.462 0.240 0.018
Er 0.018 0.524 0.254
Er 0.253 0.000 0.507
Er 0.759 0.764 0.263
Er 0.727 0.230 0.762
Er 0.272 0.527 0.997
Er 0.516 0.000 0.229
Er 0.494 0.476 0.731
Er 0.994 0.236 0.499
Er 0.222 0.760 0.778
Er 0.745 0.473 0.470

**Uncorrected energy**: -125.024 eV per cell
**Space group**: Cm, No. 8
**ΔH_f (0 K)**: 0.179 eV/atom
**Relative energy among the computed polymorphs**: 0.000 eV/atom
**Total moment**: 0.00 Bohr magnetons per cell
**DOS at the Fermi energy**: 11.34 states/eV/f.u.

No. 12
# HfZrOs

HfZrOs after structural relaxation (PBE, Alexandria via LeMat-Bulk).

Cell lengths 5.602, 7.198, 7.198 Å; angles 76.94, 73.81, 73.81 degrees
Atoms (fractional coordinates):
Hf 0.078 0.696 0.946
Hf 0.922 0.804 0.554
Hf 0.922 0.304 0.054
Hf 0.078 0.196 0.446
Os 0.131 0.431 0.681
Os 0.131 0.931 0.181
Os 0.869 0.569 0.319
Os 0.869 0.069 0.819
Zr 0.602 0.454 0.704
Zr 0.602 0.954 0.204
Zr 0.398 0.546 0.296
Zr 0.398 0.046 0.796

**Uncorrected energy**: -120.797 eV per cell
**Space group**: P2_1/m, No. 11
**ΔH_f (0 K)**: -0.156 eV/atom
**Relative energy among the computed polymorphs**: 0.212 eV/atom
**Total moment**: 0.00 Bohr magnetons per cell
**DOS at the Fermi energy**: 2.36 states/eV/f.u.

No. 13
# Re2Os

Re2Os after structural relaxation (PBE, Alexandria via LeMat-Bulk).

Cell lengths 4.358, 4.358, 5.475 Å; angles 90.00, 90.00, 120.00 degrees
Atoms (fractional coordinates):
Re 0.000 0.000 0.000
Re 0.000 0.000 0.500
Re 0.333 0.667 0.750
Re 0.667 0.333 0.250
Os 0.333 0.667 0.250
Os 0.667 0.333 0.750

**Uncorrected energy**: -71.541 eV per cell
**Space group**: P6_3/mmc, No. 194
**ΔH_f (0 K)**: 0.118 eV/atom
**Relative energy among the computed polymorphs**: 0.193 eV/atom
**Total moment**: 0.00 Bohr magnetons per cell
**DOS at the Fermi energy**: 2.41 states/eV/f.u.

No. 14
# TaBe3Co

TaBe3Co after structural relaxation (PBE, Alexandria via LeMat-Bulk).

Cell lengths 3.821, 3.821, 3.821 Å; angles 90.00, 90.00, 90.00 degrees
Atoms (fractional coordinates):
Be 0.000 0.500 0.000
Be 0.000 0.000 0.500
Be 0.500 0.000 0.000
Co 0.000 0.000 0.000
Ta 0.500 0.500 0.500

**Uncorrected energy**: -28.898 eV per cell
**Space group**: Pm-3m, No. 221
**ΔH_f (0 K)**: 0.248 eV/atom
**Total moment**: 0.00 Bohr magnetons per cell
**DOS at the Fermi energy**: 1.33 states/eV/f.u.

No. 15
# TlMo2Pt

TlMo2Pt after structural relaxation (PBE, Alexandria via LeMat-Bulk).

Cell lengths 2.890, 2.890, 8.450 Å; angles 90.00, 90.00, 90.00 degrees
Atoms (fractional coordinates):
Mo 0.000 0.000 0.021
Mo 0.500 0.500 0.255
Pt 0.000 0.000 0.473
Tl 0.500 0.500 0.750

**Uncorrected energy**: -28.846 eV per cell
**Space group**: P4mm, No. 99
**ΔH_f (0 K)**: 0.306 eV/atom
**Relative energy among the computed polymorphs**: 0.042 eV/atom
**Total moment**: 0.00 Bohr magnetons per cell
**DOS at the Fermi energy**: 4.85 states/eV/f.u.

No. 16
# LiTbCuHg

LiTbCuHg after structural relaxation (PBE, Alexandria via LeMat-Bulk).

Cell lengths 4.732, 4.732, 4.732 Å; angles 60.00, 60.00, 60.00 degrees
Atoms (fractional coordinates):
Tb 0.000 0.000 0.000
Hg 0.500 0.500 0.500
Cu 0.250 0.250 0.250
Li 0.750 0.750 0.750

**Uncorrected energy**: -11.848 eV per cell
**Space group**: F-43m, No. 216
**ΔH_f (0 K)**: -0.226 eV/atom
**Total moment**: 0.01 Bohr magnetons per cell
**DOS at the Fermi energy**: 5.91 states/eV/f.u.

No. 17
# NaPd3S

NaPd3S after structural relaxation (PBE, Alexandria via LeMat-Bulk).

Cell lengths 4.563, 4.563, 4.563 Å; angles 90.00, 90.00, 90.00 degrees
Atoms (fractional coordinates):
Na 0.500 0.500 0.500
S 0.000 0.000 0.000
Pd 0.000 0.500 0.000
Pd 0.000 0.000 0.500
Pd 0.500 0.000 0.000

**Uncorrected energy**: -22.466 eV per cell
**Space group**: Pm-3m, No. 221
**ΔE_f (raw)**: -0.288 eV/atom
**Relative energy among the computed polymorphs**: 0.000 eV/atom
**Total moment**: 0.00 Bohr magnetons per cell
**DOS at the Fermi energy**: 2.98 states/eV/f.u.

No. 18
# Tm3Zn2Ni

Tm3Zn2Ni after structural relaxation (PBE, Alexandria via LeMat-Bulk).

Cell lengths 3.448, 3.448, 10.387 Å; angles 90.00, 90.00, 90.00 degrees
Atoms (fractional coordinates):
Tm 0.000 0.000 0.000
Tm 0.000 0.000 0.654
Tm 0.000 0.000 0.346
Zn 0.500 0.500 0.830
Zn 0.500 0.500 0.170
Ni 0.500 0.500 0.500

**Uncorrected energy**: -24.110 eV per cell
**Space group**: P4/mmm, No. 123
**ΔH_f (0 K)**: -0.394 eV/atom
**Relative energy among the computed polymorphs**: 0.000 eV/atom
**Total moment**: 0.00 Bohr magnetons per cell
**DOS at the Fermi energy**: 3.85 states/eV/f.u.

No. 19
# LaCd2Ni

LaCd2Ni after structural relaxation (PBE, Alexandria via LeMat-Bulk).

Cell lengths 9.780, 9.780, 9.780 Å; angles 19.46, 19.46, 19.46 degrees
Atoms (fractional coordinates):
Cd 0.018 0.018 0.018
Cd 0.482 0.482 0.482
La 0.250 0.250 0.250
Ni 0.750 0.750 0.750

**Uncorrected energy**: -12.074 eV per cell
**Space group**: R-3m, No. 166
**ΔH_f (0 K)**: 0.116 eV/atom
**Total moment**: 0.00 Bohr magnetons per cell
**DOS at the Fermi energy**: 3.37 states/eV/f.u.

No. 20
# AlZnPbF6

AlZnPbF6 after structural relaxation (PBE, Alexandria via LeMat-Bulk).

Cell lengths 5.596, 5.596, 10.199 Å; angles 90.00, 90.00, 120.00 degrees
Atoms (fractional coordinates):
Al 0.667 0.333 0.250
Al 0.333 0.667 0.750
Zn 0.333 0.667 0.250
Zn 0.667 0.333 0.750
Pb 0.000 0.000 0.000
Pb 0.000 0.000 0.500
F 0.659 0.600 0.147
F 0.941 0.341 0.147
F 0.341 0.941 0.647
F 0.059 0.659 0.853
F 0.400 0.341 0.353
F 0.941 0.600 0.353
F 0.600 0.941 0.853
F 0.659 0.059 0.353
F 0.059 0.400 0.647
F 0.400 0.059 0.147
F 0.600 0.659 0.647
F 0.341 0.400 0.853

**Uncorrected energy**: -86.224 eV per cell
**Space group**: P-31c, No. 163
**ΔE_f (raw)**: -2.573 eV/atom
**Total moment**: 0.00 Bohr magnetons per cell
**DOS at the Fermi energy**: 3.29 states/eV/f.u.